VASP calculation (GGA-PBE) on a relaxed Mn crystal.

Cell: 4.7736 4.7736 4.0176 Å, 90.00 90.00 90.00°
Space group I4/mcm (No. 140)
Symmetry-distinct sites (fractional):
Mn 0.1741 0.3259 0.0000 [8 per cell]

* ΔE_f: 0.3 eV/f.u.
* relative energy among the computed polymorphs: 0.329 eV/atom
* crystal system: tetragonal